{"formula": "SiTe2Mo", "functional": "PBE-GGA", "state": "relaxed", "cell": [[-0.922, 1.012, 3.329], [-1.236, -3.314, 0.665], [6.988, -2.064, 2.563]], "species": ["Te", "Te", "Mo", "Si"], "fractional_positions": [[0.500, 0.373, 0.342], [0.000, 0.877, 0.908], [0.000, 0.375, 0.625], [0.500, 0.875, 0.625]], "e_form_raw_ev_per_atom": -0.027, "dos_ef_per_ev_cell": 1.32, "volume_a3_per_cell": 100, "space_group": "Pm (6)"}

=====

{"formula": "SiTeMo2", "functional": "PBE-GGA", "state": "relaxed", "cell": [[-0.952, 6.346, -0.873], [-3.515, 3.660, -4.023], [0.316, -5.128, 3.943]], "species": ["Mo", "Te", "Si", "Mo"], "fractional_positions": [[0.975, 0.975, 0.000], [0.293, 0.793, 0.500], [0.541, 0.541, 0.000], [0.692, 0.192, 0.500]], "e_form_raw_ev_per_atom": 0.056, "dos_ef_per_ev_cell": 3.54, "volume_a3_per_cell": 71, "space_group": "Imm2 (44)"}

=====

{"formula": "Si2TeMo", "functional": "PBE-GGA", "state": "relaxed", "cell": [[3.270, 0.000, 0.000], [0.000, 3.270, 0.000], [0.000, 0.000, 6.546]], "species": ["Mo", "Te", "Si", "Si"], "fractional_positions": [[0.500, 0.500, 0.750], [0.500, 0.500, 0.250], [0.000, 0.000, 0.940], [0.000, 0.000, 0.560]], "e_form_raw_ev_per_atom": 0.157, "dos_ef_per_ev_cell": 2.55, "volume_a3_per_cell": 70, "space_group": "P4/mmm (123)"}

=====

{"formula": "SiTeMo2", "functional": "PBE-GGA", "state": "relaxed", "cell": [[3.481, 0.000, 0.000], [0.000, 3.221, 0.006], [0.000, 2.183, 6.067]], "species": ["Mo", "Mo", "Te", "Si"], "fractional_positions": [[0.000, 0.086, 0.026], [0.000, 0.414, 0.474], [0.500, 0.750, 0.750], [0.500, 0.250, 0.250]], "e_form_raw_ev_per_atom": 0.219, "dos_ef_per_ev_cell": 3.53, "volume_a3_per_cell": 68, "space_group": "P2/m (10)"}

=====

{"formula": "SiTe2Mo", "functional": "PBE-GGA", "state": "relaxed", "cell": [[-3.112, -1.190, -1.088], [0.358, -4.123, 3.486], [-2.034, 2.463, 3.122]], "species": ["Te", "Te", "Si", "Mo"], "fractional_positions": [[0.000, 0.000, 0.000], [0.500, 0.500, 0.000], [0.000, 0.500, 0.500], [0.500, 0.000, 0.500]], "e_form_raw_ev_per_atom": 0.810, "dos_ef_per_ev_cell": 4.26, "volume_a3_per_cell": 85, "space_group": "Pmmm (47)"}

=====

{"formula": "SiTeMo2", "functional": "PBE-GGA", "state": "relaxed", "cell": [[-3.943, -2.030, 0.853], [2.104, -3.990, 0.226], [0.463, 0.423, 3.145]], "species": ["Mo", "Te", "Si", "Mo"], "fractional_positions": [[0.500, 0.500, 0.000], [0.000, 0.500, 0.500], [0.500, 0.000, 0.500], [0.000, 0.000, 0.000]], "e_form_raw_ev_per_atom": 0.194, "dos_ef_per_ev_cell": 3.57, "volume_a3_per_cell": 65, "space_group": "P4/mmm (123)"}